P.
TbInHg3S4: optimized geometry, GGA-PBE.

Size of the total moment, μB per atom: 0.001
Crystal system: monoclinic
Calculated density, Mg/m³: 6.05

Cell: 6.419 7.662 11.229 Å, 90.00 93.58 90.00°
Space group P2_1/m (No. 11)
Symmetry-distinct sites (fractional):
Tb1 0.120 0.250 0.219
In1 0.474 0.250 0.667
Hg1 0.190 0.027 0.951
Hg2 0.347 0.750 0.667
S1 0.126 0.012 0.719
S2 0.323 0.250 0.426
S3 0.448 0.250 0.061

Q.
TbInHg3S4: optimized geometry, GGA-PBE.

Size of the total moment, μB per atom: 0.000
Crystal system: cubic
Calculated density, Mg/m³: 5.57

Cell: 6.687 6.687 6.687 Å, 90.00 90.00 90.00°
Space group P-43m (No. 215)
Symmetry-distinct sites (fractional):
Tb1 0.000 0.000 0.000
In1 0.500 0.500 0.500
Hg1 0.000 0.000 0.500
S1 0.225 0.225 0.775

Stability check: which of them is least stable? Q.